This record from Alexandria via LeMat-Bulk describes a relaxed structure of BeOsBr4. The functional is PBE.

The space group is F-43m (No. 216) and the conventional cell measures 8.728, 8.728 and 8.728 Å, with angles of 90.00, 90.00 and 90.00 degrees. The distinct sites, in fractional coordinates, are Be at (0.000, 0.000, 0.000), Os at (0.250, 0.250, 0.250) and Br at (0.125, 0.125, 0.625).

The uncorrected formation energy comes out at 1.946 eV/atom.

***

This record from Alexandria via LeMat-Bulk describes a relaxed structure of Be2OsBr. The functional is PBE.

The space group is R-3m (No. 166, hexagonal axes) and the conventional cell measures 3.0460, 3.0460 and 20.5523 Å, with angles of 90.00, 90.00 and 120.00 degrees. The distinct sites, in fractional coordinates, are Be at (0.0000, 0.0000, 0.2433), Os at (0.0000, 0.0000, 0.5000) and Br at (0.0000, 0.0000, 0.0000).

The uncorrected formation energy comes out at 0.395 eV/atom. The excess energy over the best structure of this formula in the dataset is 0.178 eV per atom.